Entry 1:
Material: Pm2Th5Ge4
Method: DFT, PBE-GGA
State: relaxed

Cell lengths 4.088, 8.088, 10.892 Å; angles 119.13, 100.82, 90.00 degrees
Fractional coordinates of all 11 atoms:
Th: 0.856 0.660 0.712
Th: 0.144 0.340 0.288
Th: 0.500 0.000 0.000
Th: 0.068 0.753 0.137
Th: 0.932 0.247 0.863
Pm: 0.280 0.211 0.560
Pm: 0.720 0.789 0.440
Ge: 0.343 0.938 0.685
Ge: 0.563 0.444 0.126
Ge: 0.437 0.556 0.874
Ge: 0.657 0.062 0.315

crystal system	monoclinic
energy of formation	-13.8	kcal/mol of atoms
total moment	0.000	μB per formula unit
energy	-71.7	eV/cell

Entry 2:
Material: Pm2Th3Ge3
Method: DFT, PBE-GGA
State: relaxed

Cell lengths 4.005, 5.234, 10.831 Å; angles 103.98, 100.66, 90.00 degrees
Fractional coordinates of all 8 atoms:
Ge: 0.000 0.500 0.000
Ge: 0.878 0.878 0.756
Ge: 0.122 0.122 0.244
Th: 0.389 0.389 0.779
Th: 0.500 0.000 0.000
Th: 0.611 0.611 0.221
Pm: 0.270 0.770 0.539
Pm: 0.730 0.230 0.461

crystal system	orthorhombic
energy of formation	-10.4	kcal/mol of atoms
total moment	0.000	μB per formula unit
energy	-49.2	eV/cell

Entry 3:
Material: PmTh2Ge3
Method: DFT, PBE-GGA
State: relaxed

Cell lengths 6.076, 8.620, 12.776 Å; angles 90.00, 90.00, 90.00 degrees
Fractional coordinates of all 24 atoms:
Th: 0.250 0.874 0.417
Th: 0.749 0.625 0.250
Th: 0.251 0.875 0.750
Th: 0.750 0.626 0.917
Th: 0.749 0.125 0.250
Th: 0.750 0.126 0.583
Th: 0.251 0.375 0.750
Th: 0.250 0.374 0.083
Pm: 0.750 0.625 0.583
Pm: 0.250 0.875 0.083
Pm: 0.250 0.375 0.417
Pm: 0.750 0.125 0.917
Ge: 0.249 0.624 0.250
Ge: 0.750 0.876 0.417
Ge: 0.250 0.125 0.917
Ge: 0.750 0.375 0.417
Ge: 0.751 0.376 0.750
Ge: 0.751 0.876 0.750
Ge: 0.249 0.124 0.250
Ge: 0.250 0.624 0.917
Ge: 0.250 0.124 0.583
Ge: 0.750 0.376 0.083
Ge: 0.750 0.875 0.083
Ge: 0.250 0.625 0.583

crystal system	monoclinic
energy of formation	-17.3	kcal/mol of atoms
total moment	0.000	μB per formula unit
energy	-151.7	eV/cell

Entry 4:
Material: Pm2Th2Ge
Method: DFT, PBE-GGA
State: relaxed

Cell lengths 4.328, 4.328, 9.314 Å; angles 103.43, 103.43, 90.00 degrees
Fractional coordinates of all 5 atoms:
Th: 0.250 0.750 0.500
Th: 0.750 0.250 0.500
Pm: 0.583 0.583 0.165
Pm: 0.417 0.417 0.835
Ge: 0.000 0.000 0.000

crystal system	tetragonal
energy of formation	9.3	kcal/mol of atoms
total moment	0.000	μB per formula unit
energy	-27.0	eV/cell

Entry 5:
Material: PmThGe
Method: DFT, PBE-GGA
State: relaxed

Cell lengths 4.390, 4.763, 4.763 Å; angles 120.00, 90.00, 90.00 degrees
Fractional coordinates of all 3 atoms:
Ge: 0.320 0.667 0.333
Th: 0.607 0.333 0.667
Pm: 0.073 0.000 0.000

offset from the most stable computed form	364.5	meV per atom
crystal system	trigonal
energy of formation	-4.4	kcal/mol of atoms
total moment	0.000	μB per formula unit
energy	-17.4	eV/cell

Entry 6:
Material: PmThGe
Method: DFT, PBE-GGA
State: relaxed

Cell lengths 4.242, 6.056, 9.677 Å; angles 129.87, 90.00, 110.50 degrees
Fractional coordinates of all 6 atoms:
Th: 0.604 0.208 0.434
Th: 0.396 0.792 0.566
Pm: 0.728 0.457 0.148
Pm: 0.272 0.543 0.852
Ge: 0.024 0.048 0.154
Ge: 0.976 0.952 0.846

offset from the most stable computed form	45.0	meV per atom
crystal system	monoclinic
energy of formation	-11.7	kcal/mol of atoms
total moment	0.000	μB per formula unit
energy	-36.6	eV/cell

Entry 7:
Material: PmTh2Ge3
Method: DFT, PBE-GGA
State: relaxed

Cell lengths 4.283, 6.076, 7.430 Å; angles 114.14, 106.75, 90.00 degrees
Fractional coordinates of all 6 atoms:
Pm: 0.000 0.500 0.000
Ge: 0.000 0.000 0.000
Ge: 0.667 0.667 0.334
Ge: 0.333 0.333 0.666
Th: 0.667 0.167 0.333
Th: 0.333 0.833 0.667

crystal system	orthorhombic
energy of formation	-17.3	kcal/mol of atoms
total moment	0.000	μB per formula unit
energy	-37.9	eV/cell

Entry 8:
Material: PmThGe
Method: DFT, PBE-GGA
State: relaxed

Cell lengths 4.495, 4.495, 8.968 Å; angles 104.51, 104.52, 90.00 degrees
Fractional coordinates of all 6 atoms:
Pm: 0.820 0.820 0.641
Pm: 0.180 0.180 0.359
Ge: 0.637 0.637 0.274
Ge: 0.363 0.363 0.726
Th: 0.500 0.000 0.000
Th: 0.000 0.500 0.000

offset from the most stable computed form	0.0	meV per atom
crystal system	tetragonal
energy of formation	-12.8	kcal/mol of atoms
total moment	0.000	μB per formula unit
energy	-36.9	eV/cell